Record 1
# NiAsOsBr2

Crystalline NiAsOsBr2 at its relaxed geometry (GGA-PBE, Alexandria via LeMat-Bulk). Values from VASP.

Structure (Quantum ESPRESSO input):
```
&SYSTEM
  ibrav = 0, nat = 5, ntyp = 4
/
ATOMIC_SPECIES
Os 190.23 Os.upf
Br 79.90 Br.upf
As 74.92 As.upf
Ni 58.69 Ni.upf
CELL_PARAMETERS angstrom
5.235 0.000 0.000
0.000 5.235 0.000
0.000 0.000 4.635
ATOMIC_POSITIONS crystal
Os 0.000 0.000 0.000
Br 0.000 0.500 0.000
Br 0.500 0.000 0.000
As 0.000 0.000 0.500
Ni 0.500 0.500 0.500
```

Output
offset from the most stable computed form = 0.0 meV/atom
formation energy from raw total energies = 1.0504 eV/atom

=====

Record 2
# Mg2HW

Crystalline Mg2HW at its relaxed geometry (GGA-PBE, Alexandria via LeMat-Bulk). Values from VASP.

Structure (Quantum ESPRESSO input):
```
&SYSTEM
  ibrav = 0, nat = 4, ntyp = 3
/
ATOMIC_SPECIES
W 183.84 W.upf
Mg 24.30 Mg.upf
H 1.01 H.upf
CELL_PARAMETERS angstrom
0.000 3.234 3.234
3.234 0.000 3.234
3.234 3.234 0.000
ATOMIC_POSITIONS crystal
W 0.500 0.500 0.500
Mg 0.250 0.250 0.250
Mg 0.750 0.750 0.750
H 0.000 0.000 0.000
```

Output
offset from the most stable computed form = 667.0 meV/atom

=====

Record 3
# Ca2OsW

Crystalline Ca2OsW at its relaxed geometry (GGA-PBE, Alexandria via LeMat-Bulk). Values from VASP.

Structure (Quantum ESPRESSO input):
```
&SYSTEM
  ibrav = 0, nat = 4, ntyp = 3
/
ATOMIC_SPECIES
Ca 40.08 Ca.upf
W 183.84 W.upf
Os 190.23 Os.upf
CELL_PARAMETERS angstrom
3.250 0.000 0.000
0.000 3.249 0.012
0.000 3.202 9.245
ATOMIC_POSITIONS crystal
Ca 0.000 0.064 0.937
Ca 0.500 0.179 0.320
W 0.500 0.814 0.686
Os 0.000 0.443 0.557
```

Output
E_form = 0.316 eV per atom

=====

Record 4
# AcSmFe4

Crystalline AcSmFe4 at its relaxed geometry (GGA-PBE, Alexandria via LeMat-Bulk). Values from VASP.

Structure (Quantum ESPRESSO input):
```
&SYSTEM
  ibrav = 0, nat = 6, ntyp = 3
/
ATOMIC_SPECIES
Fe 55.84 Fe.upf
Ac 227.00 Ac.upf
Sm 150.36 Sm.upf
CELL_PARAMETERS angstrom
-4.612 -1.709 -2.017
-0.614 -5.129 -1.255
-3.197 -3.086 2.918
ATOMIC_POSITIONS crystal
Fe 0.625 0.124 0.625
Fe 0.625 0.625 0.625
Fe 0.625 0.625 0.124
Fe 0.124 0.625 0.625
Ac 0.250 0.250 0.250
Sm 0.000 0.000 0.000
```

Output
E_form = 0.149 eV per atom

=====

Record 5
# SrAgAu2

Crystalline SrAgAu2 at its relaxed geometry (GGA-PBE, Alexandria via LeMat-Bulk). Values from VASP.

Structure (Quantum ESPRESSO input):
```
&SYSTEM
  ibrav = 0, nat = 4, ntyp = 3
/
ATOMIC_SPECIES
Ag 107.87 Ag.upf
Sr 87.62 Sr.upf
Au 196.97 Au.upf
CELL_PARAMETERS angstrom
3.701 0.000 0.000
0.000 3.698 0.000
0.000 0.000 6.719
ATOMIC_POSITIONS crystal
Ag 0.500 0.500 0.750
Sr 0.500 0.500 0.250
Au 0.000 0.000 0.961
Au 0.000 0.000 0.539
```

Output
E_form = -0.402 eV per atom

=====

Record 6
# AcDy2Te

Crystalline AcDy2Te at its relaxed geometry (GGA-PBE, Alexandria via LeMat-Bulk). Values from VASP.

Structure (Quantum ESPRESSO input):
```
&SYSTEM
  ibrav = 0, nat = 4, ntyp = 3
/
ATOMIC_SPECIES
Te 127.60 Te.upf
Dy 162.50 Dy.upf
Ac 227.00 Ac.upf
CELL_PARAMETERS angstrom
-0.042 -3.246 2.142
3.526 0.872 1.391
-3.521 4.198 6.293
ATOMIC_POSITIONS crystal
Te 0.500 0.500 0.000
Dy 0.000 0.000 0.790
Dy 0.000 0.000 0.210
Ac 0.500 0.500 0.500
```

Output
offset from the most stable computed form = 0.0 meV/atom
formation energy from raw total energies = -0.5491 eV/atom

=====

Record 7
# Si2MoAu

Crystalline Si2MoAu at its relaxed geometry (GGA-PBE, Alexandria via LeMat-Bulk). Values from VASP.

Structure (Quantum ESPRESSO input):
```
&SYSTEM
  ibrav = 0, nat = 4, ntyp = 3
/
ATOMIC_SPECIES
Si 28.09 Si.upf
Au 196.97 Au.upf
Mo 95.94 Mo.upf
CELL_PARAMETERS angstrom
2.776 0.000 0.000
0.000 2.776 0.000
0.000 0.000 8.065
ATOMIC_POSITIONS crystal
Si 0.500 0.500 0.237
Si 0.000 0.000 0.996
Au 0.000 0.000 0.499
Mo 0.500 0.500 0.768
```

Output
offset from the most stable computed form = 345.8 meV/atom
formation energy from raw total energies = 0.2822 eV/atom

=====

Record 8
# Sr2ThZrN4

Crystalline Sr2ThZrN4 at its relaxed geometry (GGA-PBE, Alexandria via LeMat-Bulk). Values from VASP.

Structure (Quantum ESPRESSO input):
```
&SYSTEM
  ibrav = 0, nat = 8, ntyp = 4
/
ATOMIC_SPECIES
Zr 91.22 Zr.upf
N 14.01 N.upf
Th 232.04 Th.upf
Sr 87.62 Sr.upf
CELL_PARAMETERS angstrom
3.576 0.000 0.000
0.000 6.184 0.114
0.000 -2.155 5.976
ATOMIC_POSITIONS crystal
Zr 0.000 0.000 0.000
N 0.000 0.753 0.205
N 0.500 0.225 0.206
N 0.000 0.247 0.795
N 0.500 0.775 0.794
Th 0.500 0.500 0.000
Sr 0.500 0.000 0.500
Sr 0.000 0.500 0.500
```

Output
formation energy from raw total energies = -1.2678 eV/atom

=====

Record 9
# Cr2Fe2Te

Crystalline Cr2Fe2Te at its relaxed geometry (GGA-PBE, Alexandria via LeMat-Bulk). Values from VASP.

Structure (Quantum ESPRESSO input):
```
&SYSTEM
  ibrav = 0, nat = 10, ntyp = 3
/
ATOMIC_SPECIES
Cr 52.00 Cr.upf
Fe 55.84 Fe.upf
Te 127.60 Te.upf
CELL_PARAMETERS angstrom
6.987 0.000 0.000
0.000 6.987 0.000
0.000 0.000 2.765
ATOMIC_POSITIONS crystal
Cr 0.358 0.142 0.500
Cr 0.642 0.858 0.500
Cr 0.858 0.358 0.500
Cr 0.142 0.642 0.500
Fe 0.862 0.638 0.000
Fe 0.362 0.862 0.000
Fe 0.638 0.138 0.000
Fe 0.138 0.362 0.000
Te 0.500 0.500 0.000
Te 0.000 0.000 0.000
```

Output
offset from the most stable computed form = 43.8 meV/atom
formation energy from raw total energies = 0.5138 eV/atom

=====

Record 10
# Sr3Fe5Cl12

Crystalline Sr3Fe5Cl12 at its relaxed geometry (GGA-PBE, Alexandria via LeMat-Bulk). Values from VASP.

Structure (Quantum ESPRESSO input):
```
&SYSTEM
  ibrav = 0, nat = 80, ntyp = 3
/
ATOMIC_SPECIES
Fe 55.84 Fe.upf
Cl 35.45 Cl.upf
Sr 87.62 Sr.upf
CELL_PARAMETERS angstrom
13.552 0.000 0.000
-4.517 12.777 0.000
-4.517 -6.389 11.065
ATOMIC_POSITIONS crystal
Fe 0.500 0.000 0.000
Fe 0.625 0.875 0.250
Fe 0.500 0.500 0.500
Fe 0.000 0.000 0.500
Fe 0.750 0.125 0.875
Fe 0.625 0.750 0.875
Fe 0.125 0.375 0.250
Fe 0.000 0.500 0.000
Fe 0.000 0.500 0.500
Fe 0.000 0.000 0.000
Fe 0.125 0.750 0.375
Fe 0.500 0.000 0.500
Fe 0.750 0.625 0.375
Fe 0.375 0.250 0.125
Fe 0.875 0.250 0.625
Fe 0.250 0.875 0.125
Fe 0.250 0.375 0.625
Fe 0.500 0.500 0.000
Fe 0.875 0.625 0.750
Fe 0.375 0.125 0.750
Cl 0.912 0.821 0.794
Cl 0.027 0.618 0.706
Cl 0.091 0.179 0.473
Cl 0.179 0.091 0.973
Cl 0.618 0.591 0.912
Cl 0.473 0.679 0.091
Cl 0.706 0.588 0.179
Cl 0.321 0.527 0.409
Cl 0.591 0.973 0.679
Cl 0.091 0.912 0.118
Cl 0.909 0.088 0.882
Cl 0.118 0.412 0.091
Cl 0.409 0.382 0.588
Cl 0.206 0.679 0.088
Cl 0.412 0.294 0.321
Cl 0.409 0.027 0.321
Cl 0.294 0.882 0.973
Cl 0.027 0.409 0.821
Cl 0.527 0.206 0.118
Cl 0.473 0.794 0.882
Cl 0.527 0.321 0.909
Cl 0.973 0.382 0.294
Cl 0.794 0.321 0.912
Cl 0.706 0.118 0.027
Cl 0.118 0.706 0.527
Cl 0.321 0.794 0.412
Cl 0.679 0.473 0.591
Cl 0.821 0.909 0.027
Cl 0.088 0.179 0.206
Cl 0.679 0.206 0.588
Cl 0.412 0.118 0.591
Cl 0.088 0.909 0.382
Cl 0.794 0.473 0.382
Cl 0.588 0.706 0.679
Cl 0.882 0.294 0.473
Cl 0.382 0.409 0.088
Cl 0.382 0.973 0.794
Cl 0.588 0.882 0.409
Cl 0.912 0.091 0.618
Cl 0.179 0.088 0.706
Cl 0.821 0.912 0.294
Cl 0.206 0.527 0.618
Cl 0.294 0.412 0.821
Cl 0.591 0.618 0.412
Cl 0.618 0.027 0.206
Cl 0.973 0.591 0.179
Cl 0.909 0.821 0.527
Cl 0.882 0.588 0.909
Sr 0.875 0.750 0.125
Sr 0.375 0.625 0.250
Sr 0.250 0.125 0.375
Sr 0.125 0.250 0.875
Sr 0.125 0.875 0.750
Sr 0.750 0.875 0.625
Sr 0.875 0.125 0.250
Sr 0.250 0.625 0.875
Sr 0.625 0.250 0.375
Sr 0.625 0.375 0.750
Sr 0.750 0.375 0.125
Sr 0.375 0.750 0.625
```

Output
formation energy from raw total energies = -1.1142 eV/atom

=====

Record 11
# Cr4SiPb

Crystalline Cr4SiPb at its relaxed geometry (GGA-PBE, Alexandria via LeMat-Bulk). Values from VASP.

Structure (Quantum ESPRESSO input):
```
&SYSTEM
  ibrav = 0, nat = 6, ntyp = 3
/
ATOMIC_SPECIES
Cr 52.00 Cr.upf
Pb 207.20 Pb.upf
Si 28.09 Si.upf
CELL_PARAMETERS angstrom
-0.824 -4.109 2.579
-2.968 0.111 3.923
-4.408 -2.179 -0.187
ATOMIC_POSITIONS crystal
Cr 0.878 0.374 0.374
Cr 0.374 0.878 0.374
Cr 0.374 0.374 0.374
Cr 0.374 0.374 0.878
Pb 0.750 0.750 0.750
Si 0.000 0.000 0.000
```

Output
formation energy from raw total energies = 0.5422 eV/atom

=====

Record 12
# K2SeBr6

Crystalline K2SeBr6 at its relaxed geometry (GGA-PBE, Alexandria via LeMat-Bulk). Values from VASP.

Structure (Quantum ESPRESSO input):
```
&SYSTEM
  ibrav = 0, nat = 18, ntyp = 3
/
ATOMIC_SPECIES
K 39.10 K.upf
Se 78.96 Se.upf
Br 79.90 Br.upf
CELL_PARAMETERS angstrom
-6.838 3.194 0.035
-2.897 -6.240 3.588
2.206 4.365 9.372
ATOMIC_POSITIONS crystal
K 0.484 0.063 0.252
K 0.016 0.563 0.248
K 0.516 0.937 0.748
K 0.984 0.437 0.752
Se 0.500 0.500 0.000
Se 0.000 0.000 0.500
Br 0.063 0.000 0.743
Br 0.696 0.225 0.974
Br 0.937 0.000 0.257
Br 0.278 0.805 0.464
Br 0.437 0.500 0.757
Br 0.563 0.500 0.243
Br 0.196 0.275 0.474
Br 0.222 0.305 0.036
Br 0.722 0.195 0.536
Br 0.778 0.695 0.964
Br 0.304 0.775 0.026
Br 0.804 0.725 0.526
```

Output
offset from the most stable computed form = 0.0 meV/atom
formation energy from raw total energies = -0.8824 eV/atom

=====

Record 13
# Pm4GaHgSe2

Crystalline Pm4GaHgSe2 at its relaxed geometry (GGA-PBE, Alexandria via LeMat-Bulk). Values from VASP.

Structure (Quantum ESPRESSO input):
```
&SYSTEM
  ibrav = 0, nat = 8, ntyp = 4
/
ATOMIC_SPECIES
Pm 145.00 Pm.upf
Hg 200.59 Hg.upf
Ga 69.72 Ga.upf
Se 78.96 Se.upf
CELL_PARAMETERS angstrom
-2.724 -2.876 1.121
5.205 -3.631 3.331
-3.116 4.996 5.245
ATOMIC_POSITIONS crystal
Pm 0.000 0.253 0.740
Pm 0.500 0.739 0.733
Pm 0.000 0.747 0.260
Pm 0.500 0.261 0.267
Hg 0.000 0.000 0.000
Ga 0.500 0.500 0.000
Se 0.500 0.000 0.500
Se 0.000 0.500 0.500
```

Output
formation energy from raw total energies = -1.1565 eV/atom

=====

Record 14
# AlTe2Br

Crystalline AlTe2Br at its relaxed geometry (GGA-PBE, Alexandria via LeMat-Bulk). Values from VASP.

Structure (Quantum ESPRESSO input):
```
&SYSTEM
  ibrav = 0, nat = 4, ntyp = 3
/
ATOMIC_SPECIES
Br 79.90 Br.upf
Al 26.98 Al.upf
Te 127.60 Te.upf
CELL_PARAMETERS angstrom
6.319 0.004 0.004
2.938 5.594 -0.004
-4.088 -3.694 3.095
ATOMIC_POSITIONS crystal
Br 0.250 0.750 0.500
Al 0.750 0.250 0.500
Te 0.560 0.560 0.000
Te 0.940 0.940 0.000
```

Output
offset from the most stable computed form = 333.1 meV/atom
formation energy from raw total energies = -0.0439 eV/atom

=====

Record 15
# CrPtW2

Crystalline CrPtW2 at its relaxed geometry (GGA-PBE, Alexandria via LeMat-Bulk). Values from VASP.

Structure (Quantum ESPRESSO input):
```
&SYSTEM
  ibrav = 0, nat = 4, ntyp = 3
/
ATOMIC_SPECIES
Pt 195.08 Pt.upf
Cr 52.00 Cr.upf
W 183.84 W.upf
CELL_PARAMETERS angstrom
4.850 0.003 -0.013
-1.710 4.539 -0.013
0.007 0.011 2.716
ATOMIC_POSITIONS crystal
Pt 0.000 0.500 0.500
Cr 0.500 0.000 0.500
W 0.500 0.500 0.000
W 0.000 0.000 0.000
```

Output
offset from the most stable computed form = 67.7 meV/atom
E_form = 0.070 eV per atom

=====

Record 16
# BaTlTe4

Crystalline BaTlTe4 at its relaxed geometry (GGA-PBE, Alexandria via LeMat-Bulk). Values from VASP.

Structure (Quantum ESPRESSO input):
```
&SYSTEM
  ibrav = 0, nat = 6, ntyp = 3
/
ATOMIC_SPECIES
Te 127.60 Te.upf
Tl 204.38 Tl.upf
Ba 137.33 Ba.upf
CELL_PARAMETERS angstrom
-4.980 -3.155 3.074
-5.201 3.444 2.299
-5.924 -0.547 -2.968
ATOMIC_POSITIONS crystal
Te 0.874 0.375 0.375
Te 0.375 0.375 0.874
Te 0.375 0.874 0.375
Te 0.375 0.375 0.375
Tl 0.750 0.750 0.750
Ba 0.000 0.000 0.000
```

Output
offset from the most stable computed form = 212.0 meV/atom
formation energy from raw total energies = -0.3661 eV/atom

=====

Record 17
# BaLa2TaCl

Crystalline BaLa2TaCl at its relaxed geometry (GGA-PBE, Alexandria via LeMat-Bulk). Values from VASP.

Structure (Quantum ESPRESSO input):
```
&SYSTEM
  ibrav = 0, nat = 5, ntyp = 4
/
ATOMIC_SPECIES
Ba 137.33 Ba.upf
La 138.91 La.upf
Cl 35.45 Cl.upf
Ta 180.95 Ta.upf
CELL_PARAMETERS angstrom
-2.281 5.054 0.336
-2.421 -1.495 6.038
4.647 1.942 2.344
ATOMIC_POSITIONS crystal
Ba 0.000 0.500 0.000
La 0.500 0.000 0.000
La 0.000 0.000 0.500
Cl 0.500 0.500 0.500
Ta 0.000 0.000 0.000
```

Output
formation energy from raw total energies = 0.1858 eV/atom

=====

Record 18
# Bi2Te2Rh

Crystalline Bi2Te2Rh at its relaxed geometry (GGA-PBE, Alexandria via LeMat-Bulk). Values from VASP.

Structure (Quantum ESPRESSO input):
```
&SYSTEM
  ibrav = 0, nat = 10, ntyp = 3
/
ATOMIC_SPECIES
Te 127.60 Te.upf
Bi 208.98 Bi.upf
Rh 102.91 Rh.upf
CELL_PARAMETERS angstrom
-3.074 1.767 -5.828
-3.846 -5.626 0.323
-4.436 3.223 3.317
ATOMIC_POSITIONS crystal
Te 0.344 0.844 0.000
Te 0.156 0.344 0.000
Te 0.844 0.656 0.000
Te 0.656 0.156 0.000
Bi 0.702 0.202 0.500
Bi 0.798 0.702 0.500
Bi 0.298 0.798 0.500
Bi 0.202 0.298 0.500
Rh 0.000 0.000 0.000
Rh 0.500 0.500 0.000
```

Output
offset from the most stable computed form = 209.6 meV/atom
formation energy from raw total energies = 0.0568 eV/atom

=====

Record 19
# SrAl2Te

Crystalline SrAl2Te at its relaxed geometry (GGA-PBE, Alexandria via LeMat-Bulk). Values from VASP.

Structure (Quantum ESPRESSO input):
```
&SYSTEM
  ibrav = 0, nat = 4, ntyp = 3
/
ATOMIC_SPECIES
Sr 87.62 Sr.upf
Al 26.98 Al.upf
Te 127.60 Te.upf
CELL_PARAMETERS angstrom
4.452 0.001 0.002
-2.236 6.322 0.060
-0.021 1.517 4.170
ATOMIC_POSITIONS crystal
Sr 0.000 0.500 0.500
Al 0.500 0.000 0.500
Al 0.000 0.000 0.000
Te 0.500 0.500 0.000
```

Output
formation energy from raw total energies = -0.2629 eV/atom